# KZrOs2 | Alexandria via LeMat-Bulk | SCAN | PBEsol geometry
data_KZrOs2
_cell_length_a 2.7834
_cell_length_b 4.4473
_cell_length_c 7.1153
_cell_angle_alpha 90.00
_cell_angle_beta 96.21
_cell_angle_gamma 90.00
_symmetry_space_group_name_H-M 'P 1'
_symmetry_Int_Tables_number 1
loop_
_symmetry_equiv_pos_as_xyz
'x,y,z'
loop_
_atom_site_label
_atom_site_fract_x
_atom_site_fract_y
_atom_site_fract_z
K1 0.0000 0.5000 0.5000
Os1 0.7454 0.0000 0.8400
Os2 0.2546 0.0000 0.1600
Zr1 0.5000 0.5000 0.0000
# Space group: P2/m (10)
# M_tot (μB per cell): 0.00
# Relative energy among the computed polymorphs (eV per formula unit): 0.97



# KZrOs2 | Alexandria via LeMat-Bulk | SCAN | PBEsol geometry
data_KZrOs2
_cell_length_a 2.5644
_cell_length_b 5.5580
_cell_length_c 5.5580
_cell_angle_alpha 113.52
_cell_angle_beta 90.40
_cell_angle_gamma 90.40
_symmetry_space_group_name_H-M 'P 1'
_symmetry_Int_Tables_number 1
loop_
_symmetry_equiv_pos_as_xyz
'x,y,z'
loop_
_atom_site_label
_atom_site_fract_x
_atom_site_fract_y
_atom_site_fract_z
K1 0.5000 0.0000 0.0000
Os1 0.0000 0.0000 0.5000
Os2 0.0000 0.5000 0.0000
Zr1 0.5000 0.5000 0.5000
# Space group: C2/m (12)
# M_tot (μB per cell): 0.00
# Relative energy among the computed polymorphs (eV per formula unit): 2.55



# KZrOs2 | Alexandria via LeMat-Bulk | SCAN | PBEsol geometry
data_KZrOs2
_cell_length_a 2.8132
_cell_length_b 3.8315
_cell_length_c 8.6991
_cell_angle_alpha 90.00
_cell_angle_beta 90.00
_cell_angle_gamma 90.00
_symmetry_space_group_name_H-M 'P 1'
_symmetry_Int_Tables_number 1
loop_
_symmetry_equiv_pos_as_xyz
'x,y,z'
loop_
_atom_site_label
_atom_site_fract_x
_atom_site_fract_y
_atom_site_fract_z
K1 0.5000 0.5000 0.7956
Os1 0.0000 0.0000 0.0986
Os2 0.5000 0.5000 0.2052
Zr1 0.0000 0.0000 0.4006
# Space group: Pmm2 (25)
# M_tot (μB per cell): 0.49
# Relative energy among the computed polymorphs (eV per formula unit): 0.00



# K2P | Alexandria via LeMat-Bulk | SCAN | PBEsol geometry
data_K2P
_cell_length_a 5.4206
_cell_length_b 5.8344
_cell_length_c 6.6753
_cell_angle_alpha 106.19
_cell_angle_beta 90.00
_cell_angle_gamma 117.68
_symmetry_space_group_name_H-M 'P 1'
_symmetry_Int_Tables_number 1
loop_
_symmetry_equiv_pos_as_xyz
'x,y,z'
loop_
_atom_site_label
_atom_site_fract_x
_atom_site_fract_y
_atom_site_fract_z
P1 0.4097 0.8194 0.3469
P2 0.5903 0.1806 0.6531
K1 0.6906 0.3811 0.1569
K2 0.0883 0.1766 0.3505
K3 0.9117 0.8234 0.6495
K4 0.3094 0.6189 0.8431
# Space group: C2/m (12)
# M_tot (μB per cell): 0.00
# Relative energy among the computed polymorphs (eV per formula unit): 0.00



# KP | Alexandria via LeMat-Bulk | SCAN | PBEsol geometry
data_KP
_cell_length_a 4.7776
_cell_length_b 5.4154
_cell_length_c 4.7776
_cell_angle_alpha 63.83
_cell_angle_beta 90.00
_cell_angle_gamma 116.17
_symmetry_space_group_name_H-M 'P 1'
_symmetry_Int_Tables_number 1
loop_
_symmetry_equiv_pos_as_xyz
'x,y,z'
loop_
_atom_site_label
_atom_site_fract_x
_atom_site_fract_y
_atom_site_fract_z
K1 0.7500 0.5000 0.7500
K2 0.0000 0.0000 0.0000
P1 0.2500 0.5000 0.2500
P2 0.5000 0.0000 0.5000
# Space group: I4_1/amd (141)
# M_tot (μB per cell): 0.00
# Relative energy among the computed polymorphs (eV per formula unit): 1.56



# K3P | Alexandria via LeMat-Bulk | SCAN | PBEsol geometry
data_K3P
_cell_length_a 6.2876
_cell_length_b 6.2876
_cell_length_c 6.2876
_cell_angle_alpha 90.00
_cell_angle_beta 90.00
_cell_angle_gamma 90.00
_symmetry_space_group_name_H-M 'P 1'
_symmetry_Int_Tables_number 1
loop_
_symmetry_equiv_pos_as_xyz
'x,y,z'
loop_
_atom_site_label
_atom_site_fract_x
_atom_site_fract_y
_atom_site_fract_z
P1 0.0000 0.0000 0.0000
K1 0.5000 0.0000 0.0000
K2 0.0000 0.5000 0.0000
K3 0.0000 0.0000 0.5000
# Space group: Pm-3m (221)
# Calculated total energy (eV per atom): -9.0450
# M_tot (μB per cell): 0.00



# K4P5 | Alexandria via LeMat-Bulk | SCAN | PBEsol geometry
data_K4P5
_cell_length_a 3.3620
_cell_length_b 10.6654
_cell_length_c 10.6654
_cell_angle_alpha 88.58
_cell_angle_beta 80.93
_cell_angle_gamma 80.93
_symmetry_space_group_name_H-M 'P 1'
_symmetry_Int_Tables_number 1
loop_
_symmetry_equiv_pos_as_xyz
'x,y,z'
loop_
_atom_site_label
_atom_site_fract_x
_atom_site_fract_y
_atom_site_fract_z
K1 0.0000 0.1999 0.8001
K2 0.0000 0.8001 0.1999
K3 0.1999 0.8001 0.8001
K4 0.8001 0.1999 0.1999
P1 0.0000 0.0000 0.0000
P2 0.2178 0.0000 0.5644
P3 0.7822 0.0000 0.4356
P4 0.2178 0.5644 0.0000
P5 0.7822 0.4356 0.0000
# Space group: I4/mmm (139)
# Calculated total energy (eV per atom): -9.5359
# M_tot (μB per cell): 1.27



# K3P | Alexandria via LeMat-Bulk | SCAN | PBEsol geometry
data_K3P
_cell_length_a 5.6179
_cell_length_b 5.6179
_cell_length_c 9.9467
_cell_angle_alpha 90.00
_cell_angle_beta 90.00
_cell_angle_gamma 120.00
_symmetry_space_group_name_H-M 'P 1'
_symmetry_Int_Tables_number 1
loop_
_symmetry_equiv_pos_as_xyz
'x,y,z'
loop_
_atom_site_label
_atom_site_fract_x
_atom_site_fract_y
_atom_site_fract_z
P1 0.6667 0.3333 0.7500
P2 0.3333 0.6667 0.2500
K1 0.0000 0.0000 0.7500
K2 0.0000 0.0000 0.2500
K3 0.6667 0.3333 0.4204
K4 0.3333 0.6667 0.9204
K5 0.3333 0.6667 0.5796
K6 0.6667 0.3333 0.0796
# Space group: P6_3/mmc (194)
# Calculated total energy (eV per atom): -9.1875
# M_tot (μB per cell): 0.00